# 1
# BeAlSe2 GGA-PBE optimized geometry
# - formation energy (no corrections) (kJ/mol of atoms) = -27.42
data_BeAlSe2
_chemical_formula_sum 'Be1 Al1 Se2'
_symmetry_space_group_name_H-M 'P 1'
_symmetry_Int_Tables_number 1
_symmetry_space_group_name_Hall 'P 1'
_cell_length_a 6.2461
_cell_length_b 6.2461
_cell_length_c 3.8671
_cell_angle_alpha 85.70
_cell_angle_beta 85.70
_cell_angle_gamma 33.04
loop_
_atom_site_label
_atom_site_type_symbol
_atom_site_fract_x
_atom_site_fract_y
_atom_site_fract_z
Se1 Se 0.2859 0.2859 0.5052
Se2 Se 0.0326 0.0326 0.9394
Be1 Be 0.6918 0.6918 0.6295
Al1 Al 0.4898 0.4898 0.4260

# 2
# Pr3Dy2Er5 GGA-PBE optimized geometry
# - ΔE_f (meV/atom) = 396
data_Pr3Dy2Er5
_chemical_formula_sum 'Pr6 Dy4 Er10'
_symmetry_space_group_name_H-M 'P 1'
_symmetry_Int_Tables_number 1
_symmetry_space_group_name_Hall 'P 1'
_cell_length_a 9.9350
_cell_length_b 9.9350
_cell_length_c 9.9350
_cell_angle_alpha 112.65
_cell_angle_beta 123.08
_cell_angle_gamma 93.96
loop_
_atom_site_label
_atom_site_type_symbol
_atom_site_fract_x
_atom_site_fract_y
_atom_site_fract_z
Er1 Er 0.7468 0.9968 0.2500
Er2 Er 0.7468 0.4968 0.7500
Er3 Er 0.5000 0.2500 0.7500
Er4 Er 0.7135 0.1215 0.5920
Er5 Er 0.2532 0.5032 0.2500
Er6 Er 0.2865 0.8785 0.4080
Er7 Er 0.5000 0.7500 0.2500
Er8 Er 0.5295 0.6215 0.9080
Er9 Er 0.4705 0.3785 0.0920
Er10 Er 0.2532 0.0032 0.7500
Dy1 Dy 0.2204 0.6277 0.5926
Dy2 Dy 0.0351 0.1277 0.9074
Dy3 Dy 0.7796 0.3723 0.4074
Dy4 Dy 0.9649 0.8723 0.0926
Pr1 Pr 0.6188 0.8710 0.7477
Pr2 Pr 0.8767 0.6290 0.2477
Pr3 Pr 0.0000 0.7500 0.7500
Pr4 Pr 0.3812 0.1290 0.2523
Pr5 Pr 0.1233 0.3710 0.7523
Pr6 Pr 0.0000 0.2500 0.2500

# 3
# Ac4Cd5Hg2 GGA-PBE optimized geometry
# - ΔE_f (meV/atom) = -299
data_Ac4Cd5Hg2
_chemical_formula_sum 'Ac4 Cd5 Hg2'
_symmetry_space_group_name_H-M 'P 1'
_symmetry_Int_Tables_number 1
_symmetry_space_group_name_Hall 'P 1'
_cell_length_a 4.1194
_cell_length_b 8.1188
_cell_length_c 10.5115
_cell_angle_alpha 94.53
_cell_angle_beta 90.00
_cell_angle_gamma 90.00
loop_
_atom_site_label
_atom_site_type_symbol
_atom_site_fract_x
_atom_site_fract_y
_atom_site_fract_z
Cd1 Cd 0.0000 0.4515 0.7041
Cd2 Cd 0.0000 0.5485 0.2959
Cd3 Cd 0.0000 0.8024 0.8450
Cd4 Cd 0.0000 0.1976 0.1550
Cd5 Cd 0.0000 0.5000 0.0000
Hg1 Hg 0.0000 0.0662 0.6408
Hg2 Hg 0.0000 0.9338 0.3592
Ac1 Ac 0.5000 0.2603 0.4392
Ac2 Ac 0.5000 0.7397 0.5608
Ac3 Ac 0.5000 0.1774 0.8787
Ac4 Ac 0.5000 0.8226 0.1213

# 4
# Pm2SmTh3Te6 GGA-PBE optimized geometry
# - formation energy (no corrections) (kJ/mol of atoms) = -114.99
data_Pm2SmTh3Te6
_chemical_formula_sum 'Pm2 Sm1 Th3 Te6'
_symmetry_space_group_name_H-M 'P 1'
_symmetry_Int_Tables_number 1
_symmetry_space_group_name_Hall 'P 1'
_cell_length_a 4.3848
_cell_length_b 9.0914
_cell_length_c 10.2005
_cell_angle_alpha 108.17
_cell_angle_beta 102.41
_cell_angle_gamma 90.00
loop_
_atom_site_label
_atom_site_type_symbol
_atom_site_fract_x
_atom_site_fract_y
_atom_site_fract_z
Th1 Th 0.8330 0.1672 0.6660
Th2 Th 0.1670 0.8328 0.3340
Th3 Th 0.5000 0.5000 0.0000
Pm1 Pm 0.8332 0.6674 0.6664
Pm2 Pm 0.1668 0.3326 0.3336
Sm1 Sm 0.5000 0.0000 0.0000
Te1 Te 0.3323 0.4200 0.6647
Te2 Te 0.6650 0.0847 0.3299
Te3 Te 0.0009 0.2463 0.0018
Te4 Te 0.6677 0.5800 0.3353
Te5 Te 0.3350 0.9153 0.6701
Te6 Te 0.9991 0.7537 0.9982

Per-record total magnetic moment, μB/f.u.: 0.00, 0.00, 0.00, 0.00